Re2SiBi: relaxed, PBE.

Cell: 4.5321 4.5321 4.5321 Å, 60.00 60.00 60.00°
Last column: nearest neighbours and their distance in Å.
Element x y z (fractional)
Re 0.2500 0.2500 0.2500  4 Bi 2.78, 4 Si 2.78
Re 0.7500 0.7500 0.7500  4 Si 2.78, 4 Bi 2.78
Si 0.0000 0.0000 0.0000  8 Re 2.78
Bi 0.5000 0.5000 0.5000  8 Re 2.78

Values from the calculation:
formation energy from raw total energies = 0.75 eV/atom
offset from the most stable computed form = 0.000 eV/atom
space group = No. 225